1.
MgZrV2Cl | GGA-PBE | relaxed

For the uncorrected formation energy, the calculation gives 1375 meV per atom. The calculated volume comes out at 26.22 A^3/atom.

The structure belongs to space group P4/mmm (No. 123); the cell edges are 4.760, 4.760 and 5.786 Å and the angles 90.00°, 90.00° and 90.00°. The inequivalent atoms are Mg at (0.000, 0.000, 0.000), Zr at (0.000, 0.000, 0.500), V at (0.000, 0.500, 0.500) and Cl at (0.500, 0.500, 0.000).

2.
K2IrW | GGA-PBE | relaxed

For the energy relative to the lowest polymorph listed for this composition, the calculation gives 51.2 kJ/mol of atoms. The calculated volume comes out at 21.27 A^3/atom. As for the energy of formation from the pure elements: 1.15 eV/atom.

The structure belongs to space group I4/mmm (No. 139); the cell edges are 3.806, 3.806 and 11.746 Å and the angles 90.00°, 90.00° and 90.00°. The inequivalent atoms are K at (0.000, 0.500, 0.250), Ir at (0.000, 0.000, 0.000) and W at (0.000, 0.000, 0.500).

3.
Sm3PuRu8 | GGA-PBE | relaxed

The calculated volume comes out at 18.28 A^3/atom. As for the energy of formation from the pure elements: -0.17 eV/atom.

The structure belongs to space group R3m (No. 160, hexagonal axes); the cell edges are 5.3640, 5.3640 and 26.4133 Å and the angles 90.00°, 90.00° and 120.00°. The inequivalent atoms are Sm at (0.0000, 0.0000, 0.0000), Sm at (0.0000, 0.0000, 0.1250), Sm at (0.0000, 0.0000, 0.5000), Pu at (0.0000, 0.0000, 0.6245), Ru at (0.0000, 0.0000, 0.3111), Ru at (0.0000, 0.0000, 0.8115), Ru at (0.0034, 0.5017, 0.5633) and Ru at (0.1676, 0.3353, 0.3943).

4.
Ce4SiPb | GGA-PBE | relaxed

For the uncorrected formation energy, the calculation gives -347 meV per atom. For the energy relative to the lowest polymorph listed for this composition, the calculation gives 0.0 kJ/mol of atoms. The calculated volume comes out at 26.88 A^3/atom.

The structure belongs to space group C2/c (No. 15); the cell edges are 8.238, 14.027 and 6.001 Å and the angles 90.00°, 111.51° and 90.00°. The inequivalent atoms are Ce at (0.074, 0.183, 0.078), Ce at (0.190, 0.415, 0.346), Si at (0.000, 0.008, 0.750) and Pb at (0.000, 0.376, 0.750).

5.
CaIrOs2 | GGA-PBE | relaxed

For the energy relative to the lowest polymorph listed for this composition, the calculation gives 7.8 kJ/mol of atoms. The calculated volume comes out at 16.74 A^3/atom. As for the energy of formation from the pure elements: 0.30 eV/atom.

The structure belongs to space group Amm2 (No. 38); the cell edges are 4.402, 2.789 and 10.909 Å and the angles 90.00°, 90.00° and 90.00°. The inequivalent atoms are Ca at (0.000, 0.000, 0.000), Ir at (0.500, 0.000, 0.615), Os at (0.000, 0.000, 0.748) and Os at (0.500, 0.000, 0.325).

6.
DyY10Th4 | GGA-PBE | relaxed

The calculated volume comes out at 38.82 A^3/atom. As for the energy of formation from the pure elements: 0.85 eV/atom.

The structure belongs to space group I4/m (No. 87); the cell edges are 12.241, 12.241 and 7.771 Å and the angles 90.00°, 90.00° and 90.00°. The inequivalent atoms are Dy at (0.000, 0.000, 0.000), Y at (0.000, 0.500, 0.250), Y at (0.099, 0.799, 0.250) and Th at (0.102, 0.298, 0.500).